(a)
Crystalline AcZn3Ru at its relaxed geometry, computed with GGA-PBE.

Values from the calculation:
density: 7.3 g/cm3
N(E_F): 0.67 states/eV/atom

The structure in POSCAR format:
```
AcZn3Ru
1.0
4.487 0.000 0.000
0.000 4.531 0.000
0.000 0.000 11.807
Ac Zn Ru
2 6 2
direct
0.000 0.000 0.000 Ac
0.000 0.500 0.500 Ac
0.000 0.000 0.721 Zn
0.000 0.500 0.221 Zn
0.500 0.000 0.205 Zn
0.500 0.000 0.420 Zn
0.500 0.500 0.705 Zn
0.500 0.500 0.920 Zn
0.000 0.000 0.314 Ru
0.000 0.500 0.814 Ru
```


(b)
Crystalline AcZn3Ru at its relaxed geometry, computed with GGA-PBE.

Values from the calculation:
density: 8.6 g/cm3
N(E_F): 0.51 states/eV/atom

The structure in POSCAR format:
```
AcZn3Ru
1.0
5.326 0.000 0.000
0.012 6.292 0.000
0.443 3.139 6.063
Ac Zn Ru
2 6 2
direct
0.003 0.349 0.301 Ac
0.997 0.651 0.699 Ac
0.191 0.088 0.825 Zn
0.500 0.000 0.500 Zn
0.500 0.296 0.000 Zn
0.500 0.500 0.500 Zn
0.500 0.704 0.000 Zn
0.809 0.912 0.175 Zn
0.281 0.876 0.248 Ru
0.719 0.124 0.752 Ru
```


(c)
Crystalline AcZn3Ru at its relaxed geometry, computed with GGA-PBE.

Values from the calculation:
density: 7.7 g/cm3
N(E_F): 0.69 states/eV/atom

The structure in POSCAR format:
```
AcZn3Ru
1.0
4.836 0.000 0.000
0.000 4.836 0.000
0.000 0.000 4.836
Ac Zn Ru
1 3 1
direct
0.000 0.000 0.000 Ac
0.000 0.500 0.500 Zn
0.500 0.000 0.500 Zn
0.500 0.500 0.000 Zn
0.500 0.500 0.500 Ru
```


Name the least stable of them. (a).


(a)
Crystalline AcZnRu at its relaxed geometry, computed with GGA-PBE.

Values from the calculation:
density: 8.7 g/cm3
N(E_F): 0.59 states/eV/atom

The structure in POSCAR format:
```
AcZnRu
1.0
10.241 0.000 0.000
0.000 6.776 0.000
-2.410 0.000 4.352
Ac Zn Ru
4 4 4
direct
0.250 0.250 0.000 Ac
0.250 0.750 0.500 Ac
0.750 0.250 0.500 Ac
0.750 0.750 0.000 Ac
0.000 0.151 0.250 Zn
0.000 0.849 0.750 Zn
0.500 0.349 0.750 Zn
0.500 0.651 0.250 Zn
0.000 0.500 0.000 Ru
0.000 0.500 0.500 Ru
0.500 0.000 0.000 Ru
0.500 0.000 0.500 Ru
```


(b)
Crystalline AcZnRu at its relaxed geometry, computed with GGA-PBE.

Values from the calculation:
density: 8.8 g/cm3
N(E_F): 1.07 states/eV/atom

The structure in POSCAR format:
```
AcZnRu
1.0
6.667 0.000 0.000
0.000 6.667 0.000
0.000 0.000 6.667
Ac Zn Ru
4 4 4
direct
0.000 0.000 0.000 Ac
0.000 0.500 0.500 Ac
0.500 0.000 0.500 Ac
0.500 0.500 0.000 Ac
0.000 0.000 0.500 Zn
0.000 0.500 0.000 Zn
0.500 0.000 0.000 Zn
0.500 0.500 0.500 Zn
0.250 0.250 0.250 Ru
0.250 0.750 0.750 Ru
0.750 0.250 0.750 Ru
0.750 0.750 0.250 Ru
```


Name the least stable of them. (b).


(a)
Crystalline AcZnRu at its relaxed geometry, computed with GGA-PBE.

Values from the calculation:
density: 9.2 g/cm3
N(E_F): 0.93 states/eV/atom

The structure in POSCAR format:
```
AcZnRu
1.0
2.208 -3.776 0.000
2.208 3.776 0.000
0.000 0.000 17.034
Ac Zn Ru
4 4 4
direct
0.000 0.000 0.000 Ac
0.000 0.000 0.250 Ac
0.000 0.000 0.500 Ac
0.000 0.000 0.750 Ac
0.335 0.665 0.624 Zn
0.335 0.665 0.876 Zn
0.665 0.335 0.124 Zn
0.665 0.335 0.376 Zn
0.329 0.671 0.125 Ru
0.329 0.671 0.375 Ru
0.671 0.329 0.625 Ru
0.671 0.329 0.875 Ru
```


(b)
Crystalline AcZnRu at its relaxed geometry, computed with GGA-PBE.

Values from the calculation:
density: 9.1 g/cm3
N(E_F): 0.98 states/eV/atom

The structure in POSCAR format:
```
AcZnRu
1.0
4.404 0.000 0.000
-2.202 3.814 0.000
0.000 0.000 4.252
Ac Zn Ru
1 1 1
direct
0.000 0.000 0.000 Ac
0.667 0.333 0.500 Zn
0.333 0.667 0.500 Ru
```


Name the least stable of them. (b).


(a)
Crystalline Ac2ZnRu2 at its relaxed geometry, computed with GGA-PBE.

Values from the calculation:
density: 10.0 g/cm3
N(E_F): 0.98 states/eV/atom

The structure in POSCAR format:
```
Ac2ZnRu2
1.0
5.230 -2.890 0.000
5.230 2.890 0.000
-2.212 0.000 7.896
Ac Zn Ru
4 2 4
direct
0.001 0.707 0.856 Ac
0.293 0.999 0.644 Ac
0.707 0.001 0.356 Ac
0.999 0.293 0.144 Ac
0.390 0.610 0.250 Zn
0.610 0.390 0.750 Zn
0.208 0.517 0.480 Ru
0.483 0.792 0.020 Ru
0.517 0.208 0.980 Ru
0.792 0.483 0.520 Ru
```


(b)
Crystalline Ac2ZnRu2 at its relaxed geometry, computed with GGA-PBE.

Values from the calculation:
density: 10.2 g/cm3
N(E_F): 0.52 states/eV/atom

The structure in POSCAR format:
```
Ac2ZnRu2
1.0
4.179 0.000 0.000
0.000 6.278 0.000
0.000 0.000 8.946
Ac Zn Ru
4 2 4
direct
0.000 0.000 0.201 Ac
0.000 0.000 0.799 Ac
0.500 0.500 0.299 Ac
0.500 0.500 0.701 Ac
0.000 0.500 0.000 Zn
0.500 0.000 0.500 Zn
0.000 0.252 0.500 Ru
0.000 0.748 0.500 Ru
0.500 0.248 0.000 Ru
0.500 0.752 0.000 Ru
```


Name the least stable of them. (a).